! PBE-GGA TbDyAlRh, relaxed; values from VASP
&SYSTEM
  ibrav = 0, nat = 4, ntyp = 4
/
ATOMIC_SPECIES
Rh 102.91 Rh.upf
Tb 158.93 Tb.upf
Al 26.98 Al.upf
Dy 162.50 Dy.upf
CELL_PARAMETERS angstrom
5.0027 0.0000 0.0000
2.5014 4.3325 0.0000
2.5014 1.4442 4.0847
ATOMIC_POSITIONS angstrom
Rh 0.0000 0.0000 0.0000
Tb 2.5014 1.4442 1.0212
Al 5.0027 2.8883 2.0423
Dy 7.5041 4.3325 3.0635
! - N(E_F): 0.836 states/eV per atom
! - Uncorrected energy: -22.519 eV per cell
! - Energy of formation from the pure elements: -548 meV per atom
! - Crystal system: cubic
! - Space-group type: F-43m